No. 1
The following is a PBE-GGA calculation of a geometry-optimized CsRbCr2Cl8 structure, from the Alexandria database.

Computed properties:
**DOS(E_F)**: 1.317 states/eV per atom
**Space group**: R-3
**Calculated volume**: 419.8 Å³ per cell
**E**: -4.2629 eV per atom

Lattice parameters (Å, degrees): 6.987 6.987 10.719 70.98 70.98 60.00
Element x y z (fractional)
1 Cl 0.478 0.657 0.805
2 Cl 0.657 0.059 0.805
3 Cl 0.941 0.522 0.195
4 Cl 0.059 0.478 0.805
5 Cl 0.832 0.832 0.504
6 Cl 0.168 0.168 0.496
7 Cl 0.522 0.343 0.195
8 Cl 0.343 0.941 0.195
9 Cr 0.757 0.757 0.728
10 Cr 0.243 0.243 0.272
11 Rb 0.000 0.000 0.000
12 Cs 0.500 0.500 0.500

No. 2
The following is a PBE-GGA calculation of a geometry-optimized CsRb2CrCl8 structure, from the Alexandria database.

Computed properties:
**DOS(E_F)**: 0.785 states/eV per atom
**Space group**: P-1
**Calculated volume**: 373.6 Å³ per cell
**E**: -3.6174 eV per atom

Lattice parameters (Å, degrees): 6.981 5.712 9.697 75.09 90.01 90.04
Element x y z (fractional)
1 Cl 0.766 0.825 0.891
2 Cl 0.500 0.755 0.502
3 Cl 0.234 0.175 0.109
4 Cl 0.233 0.825 0.890
5 Cl 0.767 0.175 0.110
6 Cl 0.000 0.328 0.801
7 Cl 0.500 0.245 0.498
8 Cl 0.000 0.672 0.199
9 Cr 0.000 0.000 0.000
10 Rb 0.500 0.650 0.187
11 Rb 0.500 0.350 0.813
12 Cs 0.000 0.000 0.500

No. 3
The following is a PBE-GGA calculation of a geometry-optimized Cs2CrRhCl6 structure, from the Alexandria database.

Computed properties:
**DOS(E_F)**: 0.021 states/eV per atom
**Space group**: Fm-3m
**Calculated volume**: 256.2 Å³ per cell
**E**: -4.1706 eV per atom

Lattice parameters (Å, degrees): 7.127 7.127 7.130 60.01 60.01 90.00
Element x y z (fractional)
1 Cr 0.500 0.500 0.000
2 Cl 0.254 0.746 0.000
3 Cl 0.254 0.254 0.000
4 Cl 0.255 0.255 0.490
5 Cl 0.746 0.254 0.000
6 Cl 0.745 0.745 0.510
7 Cl 0.746 0.746 0.000
8 Cs 0.250 0.750 0.500
9 Cs 0.750 0.250 0.500
10 Rh 0.000 0.000 0.000

No. 4
The following is a PBE-GGA calculation of a geometry-optimized Cs2CrRuCl6 structure, from the Alexandria database.

Computed properties:
**DOS(E_F)**: 1.115 states/eV per atom
**Space group**: I4/mmm
**Calculated volume**: 255.2 Å³ per cell
**E**: -4.2664 eV per atom

Lattice parameters (Å, degrees): 7.122 7.122 7.119 59.98 59.98 90.00
Element x y z (fractional)
1 Cs 0.750 0.250 0.500
2 Cs 0.250 0.750 0.500
3 Ru 0.000 0.000 0.000
4 Cl 0.754 0.246 0.000
5 Cl 0.246 0.246 0.508
6 Cl 0.754 0.754 0.000
7 Cl 0.754 0.754 0.492
8 Cl 0.246 0.246 0.000
9 Cl 0.246 0.754 0.000
10 Cr 0.500 0.500 0.000

No. 5
The following is a PBE-GGA calculation of a geometry-optimized CsCrSCl2 structure, from the Alexandria database.

Computed properties:
**DOS(E_F)**: 0.409 states/eV per atom
**Energy relative to the lowest polymorph listed for this composition**: 0 meV per atom
**Space group**: P4/mmm
**Calculated volume**: 125.9 Å³ per cell
**E**: -4.7327 eV per atom

Lattice parameters (Å, degrees): 5.238 5.238 4.586 90.00 90.00 90.00
Element x y z (fractional)
1 Cl 0.500 0.000 0.000
2 Cl 0.000 0.500 0.000
3 Cr 0.000 0.000 0.000
4 S 0.000 0.000 0.500
5 Cs 0.500 0.500 0.500

No. 6
The following is a PBE-GGA calculation of a geometry-optimized Cs2CrSCl6 structure, from the Alexandria database.

Computed properties:
**DOS(E_F)**: 0.116 states/eV per atom
**Space group**: I4/mmm
**Calculated volume**: 294.5 Å³ per cell
**E**: -3.7501 eV per atom

Lattice parameters (Å, degrees): 6.998 6.998 7.788 63.31 63.31 90.00
Element x y z (fractional)
1 Cl 0.194 0.194 0.612
2 Cl 0.747 0.747 0.000
3 Cl 0.747 0.253 0.000
4 Cl 0.253 0.747 0.000
5 Cl 0.253 0.253 0.000
6 Cl 0.806 0.806 0.388
7 Cs 0.750 0.250 0.500
8 Cs 0.250 0.750 0.500
9 Cr 0.000 0.000 0.000
10 S 0.500 0.500 0.000